# GGA-PBE ThZrZnTc, optimized geometry
# ΔE_f	-0.12	eV per atom
# V	21.06	Å³/atom
# density of states at the Fermi level	1.1039	states/eV/atom
data_ThZrZnTc
_chemical_formula_sum 'Th4 Zr4 Zn4 Tc4'
_symmetry_space_group_name_H-M 'F -4 3 m'
_symmetry_Int_Tables_number 216
_symmetry_space_group_name_Hall 'F -4 2 3'
_cell_length_a 6.9590
_cell_length_b 6.9590
_cell_length_c 6.9590
_cell_angle_alpha 90.00
_cell_angle_beta 90.00
_cell_angle_gamma 90.00
loop_
_atom_site_label
_atom_site_type_symbol
_atom_site_fract_x
_atom_site_fract_y
_atom_site_fract_z
Th1 Th 0.0000 0.0000 0.0000
Zr1 Zr 0.0000 0.0000 0.5000
Zn1 Zn 0.2500 0.2500 0.2500
Tc1 Tc 0.2500 0.2500 0.7500